(1)
K2MgFe: PBEsol geometry, SCAN.

Computed properties:
magnetic moment	3.3	μB/f.u.
mass density	2.112	Mg/m³
raw total energy	-9.17	eV per atom

Unit cell a=4.7174 b=4.7174 c=6.5143 alpha=111.23 beta=111.23 gamma=90.00
Element x y z (fractional)
Fe1 0.0000 0.0000 0.0000
K1 0.2500 0.7500 0.5000
K2 0.7500 0.2500 0.5000
Mg1 0.5000 0.5000 0.0000

(2)
CsBaO2F: PBEsol geometry, SCAN.

Computed properties:
magnetic moment	0.3	μB/f.u.
mass density	5.046	Mg/m³
E_form (uncorrected)	-137	kJ/mol of atoms

Unit cell a=4.5647 b=4.5647 c=5.0737 alpha=90.00 beta=90.00 gamma=90.00
Element x y z (fractional)
O1 0.5000 0.0000 0.0000
O2 0.0000 0.5000 0.0000
F1 0.0000 0.0000 0.5000
Ba1 0.5000 0.5000 0.5000
Cs1 0.0000 0.0000 0.0000

Q: What is the magnetic moment in the first record?
A: 3.3 μB/f.u.